## ZnCd2Hg4 (PBE)

Data for an optimized crystal structure of ZnCd2Hg4.

Properties
- D(E_F): 2.48 states/eV per cell
- VASP energy: -0.544 eV per atom
- Formation enthalpy at 0 K: 0.071 eV per atom

Cell: 6.2632 6.2632 4.4664 Å, 90.00 90.00 98.26°
Fractional coordinates of all 7 atoms:
Zn 0.0000 0.0000 0.0000
Cd 0.3112 0.6888 0.5000
Cd 0.6888 0.3112 0.5000
Hg 0.0000 0.5000 0.0000
Hg 0.2055 0.2055 0.5000
Hg 0.5000 0.0000 0.0000
Hg 0.7945 0.7945 0.5000